(1)
# YZr2Mn

A relaxed structure of YZr2Mn (PBE, Alexandria).

The magnetic moment comes out at 7.418 μB per cell. As for the volume: 22.75 Å³/atom. The offset from the most stable computed form is 0.74 eV/f.u.

The structure belongs to space group I-4m2 (No. 119); the cell edges are 4.504, 4.504 and 8.972 Å and the angles 90.00°, 90.00° and 90.00°. The asymmetric unit holds Y at (0.000, 0.000, 0.000), Zr at (0.000, 0.000, 0.500), Zr at (0.000, 0.500, 0.750) and Mn at (0.000, 0.500, 0.250).


(2)
# YZrMn2

A relaxed structure of YZrMn2 (PBE, Alexandria).

The magnetic moment comes out at 0.001 μB per cell. As for the volume: 21.57 Å³/atom. As for the total energy: -7.992 eV/atom.

The structure belongs to space group C2/m (No. 12); the cell edges are 9.246, 3.719 and 5.815 Å and the angles 90.00°, 120.34° and 90.00°. The asymmetric unit holds Y at (0.000, 0.000, 0.000), Zr at (0.000, 0.500, 0.500) and Mn at (0.250, 0.000, 0.592).


Q: magnetic moment of number 1 (YZr2Mn)?
A: 7.418 μB per cell


Q: Number 2 is which compound?
A: YZrMn2


Q: The highest magnetic moment belongs to which entry?
A: YZr2Mn